4
Lattice="2.098 -3.469 1.345 -2.136 -3.610 0.803 0.444 -3.366 -2.592" Properties=species:S:1:pos:R:3 comment="Co2SeF, relaxed, DFT PBE+U" relative_energy_mev_per_atom=157 space_group=Fm-3m final_energy_ev_per_atom=-4.16 pbc="T T T"
Se 0.203 -5.223 -0.222
F 0.000 0.000 0.000
Co 0.101 -2.611 -0.111
Co 0.304 -7.834 -0.333